Below is TbScCuAg after structural relaxation, with properties calculated at the PBE level.

Summary:
The energy of formation from the pure elements is -261 meV per atom. The density of states at the Fermi level is 0.70 states/eV/atom. Its crystal system is tetragonal. Its space group is P4mm, No. 99.

Unit cell a=3.434 b=3.434 c=7.023 alpha=90.00 beta=90.00 gamma=90.00
Atoms (fractional coordinates):
Tb  0.000  0.000  0.000
Sc  0.000  0.000  0.530
Cu  0.500  0.500  0.737
Ag  0.500  0.500  0.291